This record from Alexandria via LeMat-Bulk describes an optimized crystal structure of CsCdPSe4. The functional is PBE.

Properties
formation energy without anion corrections = -0.525 eV/atom

a b c (Å): 6.4563 7.3898 9.8090
angles (deg): 90.00 106.57 90.00
Positions (direct):
Cs: 0.2388 0.2500 0.4262
Cs: 0.7612 0.7500 0.5738
Cd: 0.3121 0.2500 0.9877
Cd: 0.6879 0.7500 0.0123
P: 0.3108 0.7500 0.1854
P: 0.6892 0.2500 0.8146
Se: 0.0758 0.7500 0.9684
Se: 0.1696 0.7500 0.3614
Se: 0.4570 0.0153 0.8013
Se: 0.4570 0.4847 0.8013
Se: 0.5430 0.5153 0.1987
Se: 0.5430 0.9847 0.1987
Se: 0.8304 0.2500 0.6386
Se: 0.9242 0.2500 0.0316